Material: YSc2Se
Method: DFT, PBE-GGA
State: relaxed

The structure in extended XYZ format:
```
4
Lattice="1.819 1.050 8.949 -1.819 1.050 8.949 0.000 -2.100 8.949" Properties=species:S:1:pos:R:3 pbc="T T T"
Y 0.000 0.000 0.000
Sc 0.000 0.000 6.216
Sc 0.000 0.000 12.594
Se 0.000 0.000 19.851
```

* formation energy from raw total energies: -720 meV/atom
* D(E_F): 4.3 states/eV/cell
* VASP energy: -0.4684 Ry/atom
* volume: 25.63 Å³/atom
* ρ: 4.18 g cm⁻³
* SG: R3m, No. 160